No. 1
{"formula": "MnPt6Au", "functional": "PBE", "state": "relaxed", "lattice": [[3.9629, 0.0000, 0.0000], [0.0000, 3.9629, 0.0000], [0.0000, 0.0000, 7.9878]], "species": ["Mn", "Pt", "Pt", "Pt", "Pt", "Pt", "Pt", "Au"], "frac_coords": [[0.0000, 0.0000, 0.5000], [0.5000, 0.5000, 0.0000], [0.5000, 0.5000, 0.5000], [0.5000, 0.0000, 0.2603], [0.5000, 0.0000, 0.7397], [0.0000, 0.5000, 0.2603], [0.0000, 0.5000, 0.7397], [0.0000, 0.0000, 0.0000]], "formation_energy_ev_per_atom": -0.16}


No. 2
{"formula": "Y3Ho", "functional": "PBE", "state": "relaxed", "lattice": [[-3.7270, -0.9958, 3.2300], [-1.4894, -3.8323, -2.9000], [5.6461, -0.6941, 2.3822]], "species": ["Y", "Y", "Y", "Ho"], "frac_coords": [[0.7500, 0.2500, 0.5000], [0.2500, 0.7500, 0.5000], [0.5000, 0.5000, 0.0000], [0.0000, 0.0000, 0.0000]], "formation_energy_ev_per_atom": 0.03, "de_polymorph_kj_per_mol_atoms": 2.5}


No. 3
{"formula": "Th4CuAu3", "functional": "PBE", "state": "relaxed", "lattice": [[-0.5835, 3.6278, 1.1098], [-1.6433, 0.9767, -4.0568], [-10.9088, -2.8932, 3.7224]], "species": ["Th", "Th", "Th", "Th", "Cu", "Au", "Au", "Au"], "frac_coords": [[0.5000, 0.5000, 0.3428], [0.0000, 0.5000, 0.8528], [0.0000, 0.0000, 0.1467], [0.5000, 0.0000, 0.6526], [0.5000, 0.5000, 0.0731], [0.0000, 0.5000, 0.5754], [0.0000, 0.0000, 0.4214], [0.5000, 0.0000, 0.9352]], "formation_energy_ev_per_atom": -0.48}


No. 4
{"formula": "HfCrP2Cl", "functional": "PBE", "state": "relaxed", "lattice": [[-1.5566, 3.2244, 3.5079], [0.9811, -3.3944, 3.5554], [4.4563, 1.7115, 0.4042]], "species": ["Cr", "Hf", "P", "P", "Cl"], "frac_coords": [[0.5000, 0.5000, 0.5000], [0.0000, 0.0000, 0.0000], [0.0000, 0.5000, 0.0000], [0.5000, 0.0000, 0.0000], [0.0000, 0.0000, 0.5000]], "raw_formation_energy_mev_per_atom": 650, "de_polymorph_kj_per_mol_atoms": 41.6}


No. 5
{"formula": "CuAu", "functional": "PBE", "state": "relaxed", "lattice": [[4.5268, 0.0000, 0.0000], [0.0000, 4.5268, 0.0000], [0.0000, 0.0000, 5.9620]], "species": ["Cu", "Cu", "Cu", "Cu", "Au", "Au", "Au", "Au"], "frac_coords": [[0.0000, 0.5000, 0.2619], [0.5000, 0.0000, 0.7381], [0.0000, 0.0000, 0.5000], [0.5000, 0.5000, 0.5000], [0.0000, 0.0000, 0.0000], [0.5000, 0.5000, 0.0000], [0.0000, 0.5000, 0.7163], [0.5000, 0.0000, 0.2837]], "formation_energy_ev_per_atom": 0.01}


No. 6
{"formula": "Zr3Sc2Si4", "functional": "PBE", "state": "relaxed", "lattice": [[-5.8818, -2.6798, 2.5873], [3.2044, -5.1095, -3.8763], [3.5712, -2.1948, 5.8452]], "species": ["Zr", "Zr", "Zr", "Zr", "Zr", "Zr", "Sc", "Sc", "Sc", "Sc", "Si", "Si", "Si", "Si", "Si", "Si", "Si", "Si"], "frac_coords": [[0.0000, 0.5000, 0.5000], [0.5000, 0.5000, 0.0000], [0.7482, 0.2489, 0.8167], [0.7518, 0.7511, 0.3167], [0.2518, 0.7511, 0.1833], [0.2482, 0.2489, 0.6833], [0.5776, 0.1948, 0.3244], [0.9224, 0.8052, 0.8244], [0.4224, 0.8052, 0.6756], [0.0775, 0.1948, 0.1756], [0.8678, 0.0813, 0.5251], [0.6322, 0.9187, 0.0251], [0.1322, 0.9187, 0.4749], [0.3678, 0.0813, 0.9749], [0.8731, 0.4851, 0.1235], [0.6269, 0.5149, 0.6235], [0.1269, 0.5149, 0.8765], [0.3731, 0.4851, 0.3765]], "raw_formation_energy_mev_per_atom": -836}


No. 7
{"formula": "LiNiRh2", "functional": "PBE", "state": "relaxed", "lattice": [[-1.2511, 0.8052, -4.1774], [-4.4308, -0.1746, 0.0318], [2.7413, 2.3114, 2.6089]], "species": ["Li", "Ni", "Rh", "Rh"], "frac_coords": [[0.2500, 0.7500, 0.5000], [0.7500, 0.2500, 0.5000], [0.0000, 0.0000, 0.0000], [0.5000, 0.5000, 0.0000]], "formation_energy_ev_per_atom": 0.00, "de_polymorph_kj_per_mol_atoms": 6.3}


No. 8
{"formula": "Tl2SnGeI6", "functional": "PBE", "state": "relaxed", "lattice": [[6.4028, 0.0000, 0.0000], [0.0000, 8.6319, 0.0000], [0.0000, 0.0000, 8.6319]], "species": ["Tl", "Tl", "Sn", "Ge", "I", "I", "I", "I", "I", "I"], "frac_coords": [[0.9841, 0.5000, 0.0000], [0.9841, 0.0000, 0.5000], [0.6415, 0.5000, 0.5000], [0.6297, 0.0000, 0.0000], [0.7038, 0.2437, 0.2437], [0.7038, 0.2437, 0.7563], [0.1823, 0.5000, 0.5000], [0.2099, 0.0000, 0.0000], [0.7038, 0.7563, 0.7563], [0.7038, 0.7563, 0.2437]], "raw_formation_energy_mev_per_atom": -465}


No. 9
{"formula": "Sc2InGaH", "functional": "PBE", "state": "relaxed", "lattice": [[4.3719, 0.0000, 0.0000], [0.0000, 4.3719, 0.0000], [0.0000, 0.0000, 4.4170]], "species": ["Sc", "Sc", "H", "Ga", "In"], "frac_coords": [[0.0000, 0.5000, 0.0000], [0.5000, 0.0000, 0.0000], [0.0000, 0.0000, 0.0000], [0.0000, 0.0000, 0.5000], [0.5000, 0.5000, 0.5000]], "final_energy_ev_per_fu": -23.505}


No. 10
{"formula": "LaSmTe6", "functional": "PBE", "state": "relaxed", "lattice": [[4.3386, 0.0000, -0.7453], [0.0000, 4.4031, 0.0000], [0.1634, 0.0000, 13.9510]], "species": ["La", "Sm", "Te", "Te", "Te", "Te", "Te", "Te"], "frac_coords": [[0.1729, 0.5000, 0.3458], [0.8281, 0.0000, 0.6562], [0.5773, 0.5000, 0.1547], [0.4206, 0.0000, 0.8413], [0.2946, 0.5000, 0.5892], [0.7084, 0.0000, 0.4169], [0.9206, 0.5000, 0.8413], [0.0774, 0.0000, 0.1547]], "raw_formation_energy_mev_per_atom": -1021}


No. 11
{"formula": "Hf2FeSi", "functional": "PBE", "state": "relaxed", "lattice": [[-2.4845, 2.4473, -0.5297], [1.7179, -0.8406, -11.9420], [-4.4379, -4.5738, -0.3164]], "species": ["Si", "Si", "Si", "Si", "Hf", "Hf", "Hf", "Hf", "Hf", "Hf", "Hf", "Hf", "Fe", "Fe", "Fe", "Fe"], "frac_coords": [[0.0000, 0.1515, 0.8385], [0.0000, 0.8485, 0.8385], [0.0000, 0.6515, 0.3385], [0.0000, 0.3485, 0.3385], [0.0000, 0.0000, 0.1686], [0.0000, 0.5000, 0.6686], [0.5000, 0.2887, 0.6447], [0.5000, 0.7113, 0.6447], [0.5000, 0.7887, 0.1447], [0.5000, 0.2113, 0.1447], [0.5000, 0.0000, 0.6706], [0.5000, 0.5000, 0.1706], [0.0000, 0.3570, 0.9547], [0.0000, 0.6430, 0.9547], [0.0000, 0.8570, 0.4547], [0.0000, 0.1430, 0.4547]], "raw_formation_energy_mev_per_atom": -457}


No. 12
{"formula": "SmTm3Se6", "functional": "PBE", "state": "relaxed", "lattice": [[4.3060, 0.0000, 0.0000], [0.0000, 8.6197, -0.1076], [0.0000, -2.8129, 8.1485]], "species": ["Sm", "Tm", "Tm", "Tm", "Se", "Se", "Se", "Se", "Se", "Se"], "frac_coords": [[0.0000, 0.5000, 0.5000], [0.5000, 0.5000, 0.0000], [0.0000, 0.0000, 0.0000], [0.5000, 0.0000, 0.5000], [0.0000, 0.0800, 0.3296], [0.0000, 0.9200, 0.6704], [0.0000, 0.3296, 0.0800], [0.0000, 0.6704, 0.9200], [0.5000, 0.6472, 0.3528], [0.5000, 0.3528, 0.6472]], "raw_formation_energy_mev_per_atom": -1577, "de_polymorph_kj_per_mol_atoms": 28.1}


No. 13
{"formula": "Ba5As3ClO12", "functional": "PBE", "state": "relaxed", "lattice": [[-7.0901, 4.8519, 6.5002], [-3.4568, -6.6870, -7.7071], [0.4736, -6.0146, 5.0061]], "species": ["As", "As", "As", "As", "As", "As", "Ba", "Ba", "Ba", "Ba", "Ba", "Ba", "Ba", "Ba", "Ba", "Ba", "Cl", "Cl", "O", "O", "O", "O", "O", "O", "O", "O", "O", "O", "O", "O", "O", "O", "O", "O", "O", "O", "O", "O", "O", "O", "O", "O"], "frac_coords": [[0.4059, 0.3720, 0.2500], [0.6280, 0.0339, 0.2500], [0.9661, 0.5941, 0.2500], [0.5941, 0.6280, 0.7500], [0.3720, 0.9661, 0.7500], [0.0339, 0.4059, 0.7500], [0.3333, 0.6667, 0.0012], [0.6667, 0.3333, 0.5012], [0.6667, 0.3333, 0.9988], [0.3333, 0.6667, 0.4988], [0.2477, 0.9927, 0.2500], [0.0073, 0.2550, 0.2500], [0.7450, 0.7523, 0.2500], [0.7523, 0.0073, 0.7500], [0.9927, 0.7450, 0.7500], [0.2550, 0.2477, 0.7500], [0.0000, 0.0000, 0.0000], [0.0000, 0.0000, 0.5000], [0.3315, 0.4814, 0.2500], [0.5186, 0.8501, 0.2500], [0.1499, 0.6685, 0.2500], [0.6685, 0.5186, 0.7500], [0.4814, 0.1499, 0.7500], [0.8501, 0.3315, 0.7500], [0.5916, 0.4698, 0.2500], [0.5302, 0.1218, 0.2500], [0.8782, 0.4084, 0.2500], [0.4084, 0.5302, 0.7500], [0.4698, 0.8782, 0.7500], [0.1218, 0.5916, 0.7500], [0.3559, 0.2623, 0.0730], [0.7377, 0.0936, 0.0730], [0.9064, 0.6441, 0.0730], [0.6441, 0.7377, 0.5730], [0.2623, 0.9064, 0.5730], [0.0936, 0.3559, 0.5730], [0.6441, 0.7377, 0.9270], [0.2623, 0.9064, 0.9270], [0.0936, 0.3559, 0.9270], [0.3559, 0.2623, 0.4270], [0.7377, 0.0936, 0.4270], [0.9064, 0.6441, 0.4270]], "raw_formation_energy_mev_per_atom": -2312}


No. 14
{"formula": "NdGdCuBi", "functional": "PBE", "state": "relaxed", "lattice": [[5.3314, 0.0000, 0.0000], [2.6657, 4.6171, 0.0000], [2.6657, 1.5390, 4.3531]], "species": ["Gd", "Nd", "Bi", "Cu"], "frac_coords": [[0.0000, 0.0000, 0.0000], [0.5000, 0.5000, 0.5000], [0.2500, 0.2500, 0.2500], [0.7500, 0.7500, 0.7500]], "formation_energy_ev_per_atom": -0.37}


No. 15
{"formula": "GaH2Pd4", "functional": "PBE", "state": "relaxed", "lattice": [[-2.3315, 1.7866, 4.8053], [-3.1270, -0.4136, -4.3846], [1.1867, -6.5066, 1.5658]], "species": ["Ga", "Ga", "H", "H", "H", "H", "Pd", "Pd", "Pd", "Pd", "Pd", "Pd", "Pd", "Pd"], "frac_coords": [[0.2266, 0.7556, 0.5508], [0.0552, 0.9810, 0.9945], [0.6263, 0.4213, 0.6335], [0.5830, 0.9390, 0.2040], [0.5909, 0.5139, 0.3215], [0.0021, 0.1773, 0.6256], [0.9625, 0.1861, 0.3588], [0.3184, 0.5512, 0.1738], [0.9409, 0.4506, 0.7882], [0.7398, 0.7906, 0.6009], [0.4391, 0.1382, 0.3539], [0.3652, 0.2986, 0.7741], [0.5539, 0.9557, 0.9384], [0.8461, 0.5909, 0.1823]], "de_polymorph_kj_per_mol_atoms": 0.0}


No. 16
{"formula": "TiCo2AsOs", "functional": "PBE", "state": "relaxed", "lattice": [[-2.6829, -1.6150, -2.7820], [-1.6843, -2.8286, 3.2663], [-2.8343, 2.9000, 1.0498]], "species": ["Co", "Co", "As", "Os", "Ti"], "frac_coords": [[0.0000, 0.0000, 0.5000], [0.5000, 0.0000, 0.0000], [0.0000, 0.0000, 0.0000], [0.5000, 0.5000, 0.5000], [0.0000, 0.5000, 0.0000]], "formation_energy_ev_per_atom": 0.90}


No. 17
{"formula": "NaSiPd3", "functional": "PBE", "state": "relaxed", "lattice": [[-4.1427, 1.8979, -0.5354], [-1.1167, -1.2311, 4.2765], [1.6253, 3.9916, 1.5735]], "species": ["Na", "Si", "Pd", "Pd", "Pd"], "frac_coords": [[0.5000, 0.5000, 0.5000], [0.0000, 0.0000, 0.0000], [0.0000, 0.5000, 0.0000], [0.0000, 0.0000, 0.5000], [0.5000, 0.0000, 0.0000]], "raw_formation_energy_mev_per_atom": -227}


No. 18
{"formula": "HfZr2VN", "functional": "PBE", "state": "relaxed", "lattice": [[4.6543, 0.0000, 0.0000], [0.0000, 4.6543, 0.0000], [0.0000, 0.0000, 3.9168]], "species": ["N", "Hf", "Zr", "Zr", "V"], "frac_coords": [[0.0000, 0.0000, 0.0000], [0.5000, 0.5000, 0.5000], [0.0000, 0.5000, 0.0000], [0.5000, 0.0000, 0.0000], [0.0000, 0.0000, 0.5000]], "raw_formation_energy_mev_per_atom": -588}


No. 19
{"formula": "Be2SiAu", "functional": "PBE", "state": "relaxed", "lattice": [[-3.1297, -0.8102, 5.6117], [-1.7164, -5.9737, -1.8197], [-0.1999, -4.3656, 2.9953]], "species": ["Be", "Be", "Be", "Be", "Si", "Si", "Au", "Au"], "frac_coords": [[0.6157, 0.1250, 0.2500], [0.1343, 0.6250, 0.2500], [0.3750, 0.3843, 0.7500], [0.8750, 0.8657, 0.7500], [0.5000, 0.5000, 0.0000], [0.2500, 0.7500, 0.5000], [0.0000, 0.0000, 0.0000], [0.7500, 0.2500, 0.5000]], "raw_formation_energy_mev_per_atom": 469}


No. 20
{"formula": "Os2RuBr", "functional": "PBE", "state": "relaxed", "lattice": [[-3.4498, -5.5859, -7.2830], [-1.4600, -7.3060, -6.3747], [-3.9695, -7.3235, -5.1726]], "species": ["Ru", "Os", "Os", "Br"], "frac_coords": [[0.2500, 0.2500, 0.2500], [0.9892, 0.9892, 0.9892], [0.5108, 0.5108, 0.5108], [0.7500, 0.7500, 0.7500]], "raw_formation_energy_mev_per_atom": 823, "de_polymorph_kj_per_mol_atoms": 9.5}